Entry 1:
Material: K2TlF5
Method: DFT, PBE
State: optimized geometry

SG = Pnma (62)
ΔE_f (raw) = -19.099 eV/f.u.

Cell: 10.8487 7.4011 6.6776 Å, 90.00 90.00 90.00°
Fractional positions:
K1 0.1701 0.0037 0.0431
K2 0.1701 0.4963 0.0431
K3 0.3299 0.5037 0.5431
K4 0.3299 0.9963 0.5431
K5 0.6701 0.0037 0.4569
K6 0.6701 0.4963 0.4569
K7 0.8299 0.5037 0.9569
K8 0.8299 0.9963 0.9569
Tl1 0.0021 0.2500 0.5617
Tl2 0.4979 0.7500 0.0617
Tl3 0.5021 0.2500 0.9383
Tl4 0.9979 0.7500 0.4383
F1 0.0130 0.2500 0.8950
F2 0.0753 0.5381 0.6570
F3 0.0753 0.9619 0.6570
F4 0.1687 0.2500 0.3789
F5 0.1931 0.7500 0.3431
F6 0.3069 0.2500 0.8431
F7 0.3313 0.7500 0.8789
F8 0.4247 0.0381 0.1570
F9 0.4247 0.4619 0.1570
F10 0.4870 0.7500 0.3950
F11 0.5130 0.2500 0.6050
F12 0.5753 0.5381 0.8430
F13 0.5753 0.9619 0.8430
F14 0.6687 0.2500 0.1211
F15 0.6931 0.7500 0.1569
F16 0.8069 0.2500 0.6569
F17 0.8313 0.7500 0.6211
F18 0.9247 0.0381 0.3430
F19 0.9247 0.4619 0.3430
F20 0.9870 0.7500 0.1050

***

Entry 2:
Material: CdRhPb
Method: DFT, PBE
State: optimized geometry

SG = Cc (9)
ΔE_f = -0.103 eV per atom
polymorph energy (0 for the lowest one) = 0.000 eV/atom

Cell: 5.5071 5.5071 5.8886 Å, 122.15 122.15 72.80°
Fractional positions:
Cd1 0.1753 0.8247 0.5000
Cd2 0.8247 0.1753 0.0000
Rh1 0.6793 0.6796 0.9296
Rh2 0.6796 0.6793 0.4296
Pb1 0.1751 0.5235 0.8499
Pb2 0.5235 0.1751 0.3499

***

Entry 3:
Material: RbTiTe3
Method: DFT, PBE
State: optimized geometry

SG = P2_1/m (11)
ΔE_f (raw) = -3.359 eV/f.u.
polymorph energy (0 for the lowest one) = 0.068 eV/atom

Cell: 5.4369 5.3720 12.5201 Å, 90.00 102.29 90.00°
Fractional positions:
Rb1 0.1652 0.2500 0.3372
Rb2 0.8348 0.7500 0.6628
Ti1 0.4303 0.2500 0.8573
Ti2 0.5697 0.7500 0.1427
Te1 0.0348 0.7500 0.0713
Te2 0.3267 0.2500 0.6468
Te3 0.4483 0.7500 0.8949
Te4 0.5517 0.2500 0.1051
Te5 0.6733 0.7500 0.3532
Te6 0.9652 0.2500 0.9287

***

Entry 4:
Material: Ca2ZnGe3Au4
Method: DFT, PBE
State: optimized geometry

SG = P-4m2 (115)
ΔE_f = -0.464 eV per atom

Cell: 4.3763 4.3763 10.9468 Å, 90.00 90.00 90.00°
Fractional positions:
Ca1 0.0000 0.5000 0.2431
Ca2 0.5000 0.0000 0.7569
Zn1 0.0000 0.0000 0.5000
Ge1 0.0000 0.5000 0.8638
Ge2 0.5000 0.0000 0.1362
Ge3 0.5000 0.5000 0.5000
Au1 0.0000 0.0000 0.0000
Au2 0.0000 0.5000 0.6345
Au3 0.5000 0.0000 0.3655
Au4 0.5000 0.5000 0.0000

***

Entry 5:
Material: La2TbEr4
Method: DFT, PBE
State: optimized geometry

SG = P1 (1)
ΔE_f = 0.039 eV per atom
polymorph energy (0 for the lowest one) = 0.000 eV/atom

Cell: 7.0985 8.6465 8.8854 Å, 114.28 101.74 101.93°
Fractional positions:
La1 0.0000 0.0000 0.0000
La2 0.0820 0.5239 0.8364
La3 0.5959 0.5341 0.8358
La4 0.7842 0.8640 0.2928
Tb1 0.3085 0.6875 0.5608
Tb2 0.6638 0.2629 0.4204
Er1 0.1712 0.2685 0.4294
Er2 0.1998 0.0922 0.7026
Er3 0.2837 0.8642 0.2914
Er4 0.3926 0.4213 0.1651
Er5 0.4888 0.9839 0.9920
Er6 0.6923 0.0909 0.7020
Er7 0.8113 0.6887 0.5666
Er8 0.8899 0.4195 0.1662

***

Entry 6:
Material: SrInSi
Method: DFT, PBE
State: optimized geometry

SG = C2/m (12)
ΔE_f (raw) = -1.120 eV/f.u.

Cell: 8.6764 8.6764 3.9941 Å, 102.87 102.87 33.17°
Fractional positions:
Sr1 0.1047 0.1047 0.3456
Sr2 0.8953 0.8953 0.6544
In1 0.2929 0.2929 0.1180
In2 0.7071 0.7071 0.8820
Si1 0.4584 0.4584 0.2105
Si2 0.5416 0.5416 0.7895

***

The following VASP energy values (in eV per formula unit) correspond, in order, to the records above: -33.0, -12.3, -21.6, -36.9, -32.5, -11.0.